# 1
NdGa12Pd4: relaxed, PBE-GGA.

abc: 7.6404 7.6404 7.6404
angles: 109.47 109.47 109.47
Sites, in units of the cell vectors:
Ga 0.8477 0.6520 0.4996
Ga 0.8477 0.3480 0.1957
Ga 0.5004 0.1523 0.3480
Ga 0.3480 0.1957 0.8477
Ga 0.1523 0.6520 0.8043
Ga 0.1523 0.3480 0.5004
Ga 0.3480 0.5004 0.1523
Ga 0.8043 0.1523 0.6520
Ga 0.4996 0.8477 0.6520
Ga 0.6520 0.4996 0.8477
Ga 0.6520 0.8043 0.1523
Ga 0.1957 0.8477 0.3480
Pd 0.0000 0.0000 0.5000
Pd 0.5000 0.0000 0.0000
Pd 0.0000 0.5000 0.0000
Pd 0.5000 0.5000 0.5000
Nd 0.0000 0.0000 0.0000

## Properties
Symmetry: Im-3
Magnetization: 0.00 μB per cell
Formation enthalpy at 0 K: -271.7 meV per atom
Final energy: -66.48 eV for the cell shown

# 2
CrTeW2: relaxed, PBE-GGA.

abc: 8.4178 8.4178 8.4178
angles: 21.19 21.19 21.19
Sites, in units of the cell vectors:
W 0.2453 0.2453 0.2453
W 0.9958 0.9958 0.9958
Cr 0.5057 0.5057 0.5057
Te 0.7532 0.7532 0.7532

## Properties
Symmetry: R3m
Magnetization: 0.00 μB per cell
ΔE_f (raw): 0.633 eV/atom
Final energy: -36.14 eV for the cell shown